Entry 1:
Material: ZrCo2Ge
Method: DFT, PBE
State: optimized geometry

Unit cell a=4.3503 b=4.3503 c=4.3503 alpha=60.00 beta=60.00 gamma=60.00
Site moments in Bohr magnetons follow the coordinates.
Fractional coordinates of all 4 atoms:
Ge1 0.5000 0.5000 0.5000  0.00
Zr1 0.2500 0.2500 0.2500  0.01
Co1 0.0000 0.0000 0.0000  -0.08
Co2 0.7500 0.7500 0.7500  0.08

## Properties
SG   F-43m
Total moment   0.0013 μB/atom
Uncorrected energy   -6.883 eV per atom

Entry 2:
Material: Hf2Si2NiPd
Method: DFT, PBE
State: optimized geometry

Unit cell a=7.2666 b=4.1778 c=13.8825 alpha=90.00 beta=99.74 gamma=90.00
Fractional coordinates of all 24 atoms:
Si1 0.5621 0.5000 0.1871
Si2 0.0648 0.5000 0.6842
Si3 0.3132 0.5000 0.4438
Si4 0.0629 0.0000 0.1836
Si5 0.8162 0.0000 0.4446
Si6 0.3064 0.0000 0.9333
Si7 0.8184 0.5000 0.9371
Si8 0.5545 0.0000 0.6841
Hf1 0.4403 0.0000 0.3202
Hf2 0.6985 0.0000 0.0612
Hf3 0.9490 0.0000 0.8145
Hf4 0.4232 0.5000 0.8054
Hf5 0.9410 0.5000 0.3210
Hf6 0.1881 0.0000 0.5634
Hf7 0.6843 0.5000 0.5583
Hf8 0.1771 0.5000 0.0580
Pd1 0.4989 0.5000 0.9968
Pd2 0.7524 0.0000 0.2527
Pd3 0.2497 0.5000 0.2509
Pd4 0.7498 0.5000 0.7489
Ni1 0.4992 0.0000 0.5025
Ni2 0.0016 0.5000 0.5037
Ni3 0.2473 0.0000 0.7469
Ni4 0.0013 0.0000 0.9980

## Properties
SG   Pm
Total moment   0.0001 μB/atom
Uncorrected energy   -7.673 eV per atom

Entry 3:
Material: LaRe4SiGe
Method: DFT, PBE
State: optimized geometry

Unit cell a=4.1735 b=7.4391 c=7.4391 alpha=32.87 beta=90.00 gamma=90.00
Fractional coordinates of all 7 atoms:
Re1 0.0000 0.1973 0.1973
Re2 0.5000 0.3030 0.3030
Re3 0.5000 0.7015 0.7015
Re4 0.0000 0.8074 0.8074
Ge1 0.0000 0.5858 0.5858
Si1 0.0000 0.4070 0.4070
La1 0.5000 0.9980 0.9980

## Properties
SG   Amm2
Total moment   0.0020 μB/atom
Uncorrected energy   -9.609 eV per atom

> Look up the total moment of the third one.

0.0020 μB/atom